No. 1
Entry from Alexandria: Te2RhI after structural relaxation (PBE-GGA).

Properties
**Uncorrected energy**: -4.08 eV/atom

Lattice parameters (Å, degrees): 4.1420 4.1420 25.3754 90.00 90.00 120.00
Closest atoms and distances in Å follow each position.
Space group R-3m (No. 166, hexagonal axes)
One atom of each set of equivalent atoms:
Te (0.0000, 0.0000, 0.1179)  3 Rh 2.69, 1 I 2.99
Rh (0.0000, 0.0000, 0.5000)  6 Te 2.69
I (0.0000, 0.0000, 0.0000)  2 Te 2.99

No. 2
Entry from Alexandria: K4In3Pt2 after structural relaxation (PBE-GGA).

Properties
**Uncorrected energy**: -2.99 eV/atom

Lattice parameters (Å, degrees): 18.3233 4.2190 8.4353 90.00 108.13 90.00
Closest atoms and distances in Å follow each position.
Space group C2/m (No. 12)
One atom of each set of equivalent atoms:
K (0.0798, 0.0000, 0.3776)  1 Pt 3.29, 2 In 3.67
K (0.2254, 0.5000, 0.1771)  3 Pt 3.50-3.90, 3 In 3.63-3.67
In (0.0000, 0.5000, 0.0000)  4 Pt 2.76
In (0.1033, 0.5000, 0.7465)  2 Pt 2.72
Pt (0.0827, 0.0000, 0.9308)  4 In 2.72-2.76

No. 3
Entry from Alexandria: LiPtCl2 after structural relaxation (PBE-GGA).

Properties
**Offset from the most stable computed form**: 354.6 kJ/mol of formula units
**Uncorrected energy**: -2.72 eV/atom

Lattice parameters (Å, degrees): 6.6288 6.6288 6.6288 90.00 90.00 90.00
Closest atoms and distances in Å follow each position.
Space group F-43m (No. 216)
One atom of each set of equivalent atoms:
Li (0.0000, 0.0000, 0.0000)  4 Cl 2.87, 4 Pt 2.87
Pt (0.2500, 0.2500, 0.2500)  4 Cl 2.87, 4 Li 2.87
Cl (0.0000, 0.0000, 0.5000)  4 Pt 2.87, 4 Cl 2.87
Cl (0.2500, 0.2500, 0.7500)  4 Cl 2.87, 4 Li 2.87

No. 4
Entry from Alexandria: Tb6Tm2Ru after structural relaxation (PBE-GGA).

Properties
**Uncorrected energy**: -4.99 eV/atom

Lattice parameters (Å, degrees): 9.0078 17.1530 3.4867 90.00 90.00 90.00
Closest atoms and distances in Å follow each position.
Space group Cmmm (No. 65)
One atom of each set of equivalent atoms:
Tb (0.1689, 0.1633, 0.0000)  4 Tb 3.04-3.39, 1 Ru 3.19
Tb (0.2453, 0.5000, 0.5000)  2 Ru 2.88
Tm (0.0000, 0.3245, 0.5000)  10 Tb 3.46-3.73, 2 Tm 3.49
Ru (0.0000, 0.0000, 0.0000)  8 Tb 2.88-3.19

No. 5
Entry from Alexandria: Re2Au after structural relaxation (PBE-GGA).

Properties
**Offset from the most stable computed form**: 450.7 kJ/mol of formula units
**Uncorrected energy**: -7.61 eV/atom

Lattice parameters (Å, degrees): 4.6353 4.6353 2.6841 90.00 90.00 90.00
Closest atoms and distances in Å follow each position.
Space group P4/mmm (No. 123)
One atom of each set of equivalent atoms:
Re (0.0000, 0.5000, 0.0000)  4 Au 2.68, 2 Re 2.68
Au (0.0000, 0.0000, 0.5000)  8 Re 2.68, 2 Au 2.68

No. 6
Entry from Alexandria: Mn2FeCu after structural relaxation (PBE-GGA).

Properties
**Offset from the most stable computed form**: 24.2 kJ/mol of formula units
**Uncorrected energy**: -7.55 eV/atom

Lattice parameters (Å, degrees): 2.8138 4.0420 8.1771 90.00 90.00 90.00
Closest atoms and distances in Å follow each position.
Space group Cmm2 (No. 35)
One atom of each set of equivalent atoms:
Mn (0.0000, 0.0000, 0.0000)  6 Mn 2.39-2.46, 2 Fe 2.47
Mn (0.0000, 0.5000, 0.2367)  6 Mn 2.39-2.46, 2 Cu 2.54
Fe (0.0000, 0.5000, 0.7519)  4 Fe 2.46, 2 Mn 2.47, 2 Cu 2.52
Cu (0.0000, 0.0000, 0.4959)  4 Cu 2.46, 2 Fe 2.52, 2 Mn 2.54

No. 7
Entry from Alexandria: LiW2Cl after structural relaxation (PBE-GGA).

Properties
**Offset from the most stable computed form**: 399.1 kJ/mol of formula units
**Uncorrected energy**: -6.34 eV/atom

Lattice parameters (Å, degrees): 2.7182 2.7182 8.6942 90.00 90.00 90.00
Closest atoms and distances in Å follow each position.
Space group P4/mmm (No. 123)
One atom of each set of equivalent atoms:
Li (0.0000, 0.0000, 0.0000)  4 Li 2.72, 8 W 2.94
W (0.5000, 0.5000, 0.2552)  4 W 2.72, 4 Cl 2.87, 4 Li 2.94
Cl (0.0000, 0.0000, 0.5000)  4 Cl 2.72, 8 W 2.87

No. 8
Entry from Alexandria: Sc2NbIn2 after structural relaxation (PBE-GGA).

Properties
**Uncorrected energy**: -5.70 eV/atom

Lattice parameters (Å, degrees): 7.9748 7.9748 3.4610 90.00 90.00 90.00
Closest atoms and distances in Å follow each position.
Space group P4/mbm (No. 127)
One atom of each set of equivalent atoms:
Sc (0.1737, 0.3263, 0.0000)  6 In 2.81-3.00
Nb (0.0000, 0.0000, 0.5000)  4 In 3.13, 8 Sc 3.42, 2 Nb 3.46
In (0.1301, 0.6301, 0.5000)  6 Sc 2.81-3.00, 1 In 2.93, 2 Nb 3.13

No. 9
Entry from Alexandria: FeW3C after structural relaxation (PBE-GGA).

Properties
**Offset from the most stable computed form**: 1070.4 kJ/mol of formula units
**Uncorrected energy**: -8.72 eV/atom

Lattice parameters (Å, degrees): 4.4305 4.4305 4.4305 90.00 90.00 90.00
Closest atoms and distances in Å follow each position.
Space group Pm-3m (No. 221)
One atom of each set of equivalent atoms:
Fe (0.0000, 0.0000, 0.0000)  6 W 2.22
W (0.0000, 0.0000, 0.5000)  2 Fe 2.22
C (0.5000, 0.5000, 0.5000)  12 W 3.13

No. 10
Entry from Alexandria: GdGaH after structural relaxation (PBE-GGA).

Properties
**Offset from the most stable computed form**: 0.0 kJ/mol of formula units
**Uncorrected energy**: -7.09 eV/atom

Lattice parameters (Å, degrees): 4.1612 4.1612 14.3020 90.00 90.00 120.00
Closest atoms and distances in Å follow each position.
Space group P6_3/mmc (No. 194)
One atom of each set of equivalent atoms:
Gd (0.3333, 0.6667, 0.1104)  4 H 2.30-2.55
Ga (0.0000, 0.0000, 0.0000)  6 H 2.51
Ga (0.0000, 0.0000, 0.2500)  6 Gd 3.12
H (0.3333, 0.6667, 0.5502)  4 Gd 2.30-2.55, 3 Ga 2.51